(1)
A geometry-optimized EuThZn structure, computed with PBE.

Unit cell a=5.1872 b=5.1872 c=3.5239 alpha=90.00 beta=90.00 gamma=120.00
Element x y z (fractional)
Eu1 0.0000 0.0000 0.0000
Th1 0.3333 0.6667 0.5884
Zn1 0.6667 0.3333 0.3114

## Properties
DFT formation energy = 0.136 eV/atom
Mass density = 9.09 g/cm3
E above lowest polymorph = 0.179 eV/atom
Raw total energy = -18.56 eV per cell
Crystal system = trigonal
DOS at the Fermi energy = 3.4 states/eV/cell


(2)
A geometry-optimized EuTh2Zn structure, computed with PBE.

Unit cell a=3.7087 b=3.7087 c=8.8161 alpha=90.00 beta=90.00 gamma=90.00
Element x y z (fractional)
Eu1 0.0000 0.0000 0.0000
Th1 0.5000 0.5000 0.3041
Th2 0.5000 0.5000 0.6959
Zn1 0.0000 0.0000 0.5000

## Properties
DFT formation energy = 0.058 eV/atom
Mass density = 9.33 g/cm3
Raw total energy = -26.15 eV per cell
Crystal system = tetragonal
DOS at the Fermi energy = 5.1 states/eV/cell


(3)
A geometry-optimized EuTh2Zr structure, computed with PBE.

Unit cell a=3.5025 b=3.5025 c=10.1764 alpha=90.00 beta=90.00 gamma=90.00
Element x y z (fractional)
Eu1 0.0000 0.0000 0.0000
Th1 0.5000 0.5000 0.2757
Th2 0.5000 0.5000 0.7243
Zr1 0.0000 0.0000 0.5000

## Properties
DFT formation energy = 0.152 eV/atom
Mass density = 9.41 g/cm3
Raw total energy = -33.05 eV per cell
Crystal system = tetragonal
DOS at the Fermi energy = 6.0 states/eV/cell


(4)
A geometry-optimized Eu3Ti structure, computed with PBE.

Unit cell a=5.1462 b=5.1462 c=5.1462 alpha=90.00 beta=90.00 gamma=90.00
Element x y z (fractional)
Eu1 0.0000 0.0000 0.5000
Eu2 0.0000 0.5000 0.0000
Eu3 0.5000 0.0000 0.0000
Ti1 0.5000 0.5000 0.5000

## Properties
DFT formation energy = 0.393 eV/atom
Mass density = 6.14 g/cm3
E above lowest polymorph = 0.003 eV/atom
Raw total energy = -37.14 eV per cell
Crystal system = cubic
DOS at the Fermi energy = 6.1 states/eV/cell